SrC PBE-GGA optimized geometry; distance to the lowest polymorph of the same formula = 778.8 meV per atom; formation energy from the elements = 0.812 eV per atom; volume = 118 Å³ per cell
1.0
1.477 5.098 -0.007
-1.477 5.098 -0.007
0.000 2.730 7.862
C Sr
3 3
direct
0.077 0.077 0.964 C
0.613 0.613 0.017 C
0.416 0.416 0.600 C
0.017 0.017 0.327 Sr
0.686 0.686 0.652 Sr
0.358 0.358 0.941 Sr



Sr2C PBE-GGA optimized geometry; distance to the lowest polymorph of the same formula = 880.2 meV per atom; formation energy from the elements = 1.005 eV per atom; volume = 194 Å³ per cell
1.0
3.431 -7.053 0.000
3.431 7.053 0.000
0.000 0.000 4.003
C Sr
2 4
direct
0.634 0.366 0.000 C
0.366 0.634 0.000 C
0.000 0.000 0.000 Sr
0.749 0.251 0.500 Sr
0.500 0.500 0.500 Sr
0.251 0.749 0.500 Sr



SrC2 PBE-GGA optimized geometry; formation energy from the elements = 3.191 eV per atom; volume = 109 Å³ per cell
1.0
-2.165 -3.179 -1.855
4.267 -0.115 0.132
-0.277 -3.330 6.030
C Sr
2 1
direct
0.667 0.333 0.809 C
0.333 0.667 0.191 C
0.000 0.000 0.000 Sr



Sr2C PBE-GGA optimized geometry; distance to the lowest polymorph of the same formula = 1087.1 meV per atom; formation energy from the elements = 1.212 eV per atom; volume = 71 Å³ per cell
1.0
-3.546 1.870 -3.157
-4.487 -2.289 0.814
3.336 2.244 3.141
Sr C
2 1
direct
0.332 0.332 0.000 Sr
0.668 0.668 0.000 Sr
0.000 0.000 0.000 C



Sr3C PBE-GGA optimized geometry; distance to the lowest polymorph of the same formula = 11.0 meV per atom; formation energy from the elements = 0.412 eV per atom; volume = 151 Å³ per cell
1.0
-1.932 -6.076 2.961
5.590 -3.787 1.954
-3.995 5.733 0.763
C Sr
1 3
direct
0.957 0.000 0.957 C
0.679 0.500 0.179 Sr
0.245 0.647 0.598 Sr
0.952 0.353 0.598 Sr



Sr3C PBE-GGA optimized geometry; distance to the lowest polymorph of the same formula = 77.0 meV per atom; formation energy from the elements = 0.478 eV per atom; volume = 167 Å³ per cell
1.0
-1.183 -3.488 -4.094
0.242 -4.222 3.527
-5.373 0.577 1.060
C Sr
1 3
direct
0.000 0.000 0.000 C
0.000 0.500 0.000 Sr
0.000 0.000 0.500 Sr
0.500 0.000 0.000 Sr



Sr3C PBE-GGA optimized geometry; distance to the lowest polymorph of the same formula = 24.3 meV per atom; formation energy from the elements = 0.426 eV per atom; volume = 418 Å³ per cell
1.0
12.990 4.036 5.291
7.890 5.946 10.742
-10.017 -8.464 -6.404
Sr C
6 2
direct
0.750 0.250 0.500 Sr
0.131 0.131 0.000 Sr
0.250 0.750 0.500 Sr
0.869 0.869 0.000 Sr
0.500 0.000 0.500 Sr
0.000 0.500 0.500 Sr
0.523 0.523 0.000 C
0.477 0.477 0.000 C



SrC PBE-GGA optimized geometry; distance to the lowest polymorph of the same formula = 483.1 meV per atom; formation energy from the elements = 0.516 eV per atom; volume = 80 Å³ per cell
1.0
3.658 0.000 0.000
0.000 2.872 0.000
0.000 0.000 7.630
Sr C
2 2
direct
0.500 0.000 0.399 Sr
0.500 0.500 0.934 Sr
0.000 0.000 0.120 C
0.000 0.500 0.213 C



Sr2C PBE-GGA optimized geometry; distance to the lowest polymorph of the same formula = 459.4 meV per atom; formation energy from the elements = 0.584 eV per atom; volume = 272 Å³ per cell
1.0
3.502 -6.065 0.000
3.502 6.065 0.000
0.000 0.000 6.405
C Sr
3 6
direct
0.667 0.333 0.500 C
0.000 0.000 0.000 C
0.333 0.667 0.500 C
0.341 0.000 0.266 Sr
0.000 0.659 0.734 Sr
0.341 0.341 0.734 Sr
0.000 0.341 0.266 Sr
0.659 0.000 0.734 Sr
0.659 0.659 0.266 Sr



Sr3C PBE-GGA optimized geometry; distance to the lowest polymorph of the same formula = 486.2 meV per atom; formation energy from the elements = 0.888 eV per atom; volume = 597 Å³ per cell
1.0
9.513 0.000 0.000
-4.756 8.238 0.000
0.000 0.000 7.617
C Sr
4 12
direct
0.333 0.667 0.250 C
0.667 0.333 0.750 C
0.000 0.000 0.500 C
0.000 0.000 0.000 C
0.114 0.227 0.750 Sr
0.000 0.500 0.500 Sr
0.886 0.114 0.250 Sr
0.227 0.114 0.250 Sr
0.500 0.000 0.500 Sr
0.886 0.773 0.250 Sr
0.000 0.500 0.000 Sr
0.114 0.886 0.750 Sr
0.773 0.886 0.750 Sr
0.500 0.500 0.500 Sr
0.500 0.500 0.000 Sr
0.500 0.000 0.000 Sr



Sr6C7 PBE-GGA optimized geometry; formation energy from the elements = 0.681 eV per atom; volume = 379 Å³ per cell
1.0
-3.331 7.044 -16.469
-3.663 2.279 -17.702
-7.600 4.640 -15.896
C Sr
7 6
direct
0.440 0.735 0.440 C
0.560 0.265 0.560 C
0.265 0.560 0.560 C
0.500 0.500 0.500 C
0.560 0.560 0.265 C
0.440 0.440 0.735 C
0.735 0.440 0.440 C
0.854 0.854 0.854 Sr
0.764 0.764 0.764 Sr
0.236 0.236 0.236 Sr
0.635 0.635 0.635 Sr
0.146 0.146 0.146 Sr
0.365 0.365 0.365 Sr



Sr2C PBE-GGA optimized geometry; distance to the lowest polymorph of the same formula = 696.9 meV per atom; formation energy from the elements = 0.822 eV per atom; volume = 148 Å³ per cell
1.0
2.339 -4.052 0.000
2.339 4.052 0.000
0.000 0.000 7.830
Sr C
4 2
direct
0.667 0.333 0.250 Sr
0.333 0.667 0.750 Sr
0.000 0.000 0.000 Sr
0.000 0.000 0.500 Sr
0.333 0.667 0.250 C
0.667 0.333 0.750 C



> Which of these has the highest volume?

number 10